## Cu3Ag7 (PBE-GGA)

Data for a geometry-optimized Cu3Ag7 structure.

```
Cu3Ag7
1.0
6.003 -1.442 0.000
6.003 1.442 0.000
-1.657 0.000 9.337
Ag Cu
7 3
Direct
0.190 0.190 0.609
0.913 0.913 0.699
0.402 0.402 0.189
0.098 0.098 0.309
0.689 0.689 0.094
0.808 0.808 0.405
0.301 0.301 0.897
0.598 0.598 0.809
0.501 0.501 0.502
0.000 0.000 0.988
```

Output
* ΔE_f: 6.5 kJ/mol of atoms
* symmetry: Cm
* calculated density: 9.72 g cm⁻³